[1]
VASP calculation (PBE) on an optimized crystal structure of Tb3Ga7Ag2.

## Properties
energy of formation = -447 meV per atom
SG = P2/m

Lattice parameters (Å, degrees): 4.239 4.247 13.811 98.72 90.00 90.00
Element x y z (fractional)
Tb 0.500 0.500 0.000
Tb 0.000 0.187 0.373
Tb 0.000 0.813 0.627
Ga 0.500 0.727 0.454
Ga 0.500 0.273 0.546
Ga 0.000 0.580 0.158
Ga 0.000 0.000 0.000
Ga 0.000 0.420 0.842
Ga 0.500 0.920 0.841
Ga 0.500 0.080 0.159
Ag 0.500 0.635 0.269
Ag 0.500 0.365 0.731

=====

[2]
VASP calculation (PBE) on an optimized crystal structure of NaLi2TlAs.

## Properties
energy of formation = -247 meV per atom
SG = P4/mmm

Lattice parameters (Å, degrees): 4.882 4.882 5.557 90.00 90.00 90.00
Element x y z (fractional)
Na 0.000 0.000 0.500
Tl 0.500 0.500 0.500
As 0.000 0.000 0.000
Li 0.000 0.500 0.000
Li 0.500 0.000 0.000

=====

[3]
VASP calculation (PBE) on an optimized crystal structure of Nb2GaFe.

## Properties
energy of formation = 263 meV per atom
SG = I-42d

Lattice parameters (Å, degrees): 7.077 7.077 5.669 51.38 51.38 90.00
Element x y z (fractional)
Nb 0.582 0.125 0.250
Nb 0.168 0.625 0.250
Nb 0.375 0.418 0.750
Nb 0.875 0.832 0.750
Fe 0.500 0.500 0.000
Fe 0.250 0.750 0.500
Ga 0.000 0.000 0.000
Ga 0.750 0.250 0.500

=====

[4]
VASP calculation (PBE) on an optimized crystal structure of Tb5GaRu4.

## Properties
energy of formation = -377 meV per atom
SG = P4/mmm

Lattice parameters (Å, degrees): 3.448 3.448 17.329 90.00 90.00 90.00
Element x y z (fractional)
Tb 0.500 0.500 0.111
Tb 0.500 0.500 0.305
Tb 0.500 0.500 0.500
Tb 0.500 0.500 0.695
Tb 0.500 0.500 0.889
Ga 0.000 0.000 0.000
Ru 0.000 0.000 0.203
Ru 0.000 0.000 0.401
Ru 0.000 0.000 0.599
Ru 0.000 0.000 0.797